A plane-wave DFT calculation with PBE-GGA was carried out for crystalline ScZn2P at its relaxed geometry.

Calculated values
**ΔE_f**: -171 kJ/mol of formula units
**Crystal system**: monoclinic
**V**: 70.9 Å³ per cell
**SG**: Cm (8)

Cell and atoms, written as extended XYZ:
```
4
Lattice="2.002 4.326 -0.184 -2.002 4.326 -0.184 0.000 0.183 4.084" Properties=species:S:1:pos:R:3 pbc="T T T"
Sc 0.000 6.573 2.279
Zn 0.000 0.095 0.514
Zn 0.000 2.582 0.400
P 0.000 4.002 2.381
```


A plane-wave DFT calculation with PBE-GGA was carried out for crystalline SbAsP2 at its relaxed geometry.

Calculated values
**Crystal system**: tetragonal
**V**: 84.2 Å³ per cell
**Energy above the lowest structure with this stoichiometry**: 69 meV per atom
**ΔE_f (raw)**: 60 kJ/mol of formula units
**SG**: P4mm (99)

Cell and atoms, written as extended XYZ:
```
4
Lattice="3.877 0.000 0.000 0.000 3.873 0.000 0.000 0.000 5.608" Properties=species:S:1:pos:R:3 pbc="T T T"
As 1.939 1.936 5.086
P 0.000 0.000 4.837
P 1.939 1.936 1.850
Sb 0.000 0.000 2.246
```


A plane-wave DFT calculation with PBE-GGA was carried out for crystalline BaMnBMo2 at its relaxed geometry.

Calculated values
**ΔE_f**: 915 kJ/mol of formula units
**Crystal system**: tetragonal
**V**: 116.7 Å³ per cell
**SG**: P4/mmm (123)

Cell and atoms, written as extended XYZ:
```
5
Lattice="4.441 0.000 0.000 0.000 5.920 0.000 0.000 0.000 4.441" Properties=species:S:1:pos:R:3 pbc="T T T"
Mo 0.000 0.000 2.220
Mo 2.220 0.000 0.000
Mn 0.000 0.000 0.000
Ba 0.000 2.960 0.000
B 2.220 2.960 2.220
```


A plane-wave DFT calculation with PBE-GGA was carried out for crystalline GeSbPd3 at its relaxed geometry.

Calculated values
**Crystal system**: cubic
**V**: 102.1 Å³ per cell
**Energy above the lowest structure with this stoichiometry**: 412 meV per atom
**ΔE_f (raw)**: 6 kJ/mol of formula units
**SG**: Pm-3m (221)

Cell and atoms, written as extended XYZ:
```
5
Lattice="-0.458 0.453 -4.629 -4.568 -0.922 0.361 -0.878 4.559 0.533" Properties=species:S:1:pos:R:3 pbc="T T T"
Sb -2.952 2.045 -1.867
Ge 0.000 0.000 0.000
Pd -2.284 -0.461 0.181
Pd -0.439 2.280 0.267
Pd -0.229 0.227 -2.315
```


A plane-wave DFT calculation with PBE-GGA was carried out for crystalline Tl2AgSn at its relaxed geometry.

Calculated values
**ΔE_f**: 56 kJ/mol of formula units
**Crystal system**: tetragonal
**V**: 105.2 Å³ per cell
**Energy above the lowest structure with this stoichiometry**: 29 meV per atom
**SG**: P4/mmm (123)

Cell and atoms, written as extended XYZ:
```
4
Lattice="4.471 0.000 0.000 0.000 4.850 0.000 0.000 0.000 4.850" Properties=species:S:1:pos:R:3 pbc="T T T"
Tl 0.000 0.000 2.425
Tl 0.000 2.425 0.000
Sn 2.236 0.000 0.000
Ag 2.236 2.425 2.425
```


- What is the formula in the second record?
  SbAsP2


- Which of these has the highest V?
  BaMnBMo2


Please write out number 3 again, unchanged.
A plane-wave DFT calculation with PBE-GGA was carried out for crystalline BaMnBMo2 at its relaxed geometry.

Calculated values
**ΔE_f**: 915 kJ/mol of formula units
**Crystal system**: tetragonal
**V**: 116.7 Å³ per cell
**SG**: P4/mmm (123)

Cell and atoms, written as extended XYZ:
```
5
Lattice="4.441 0.000 0.000 0.000 5.920 0.000 0.000 0.000 4.441" Properties=species:S:1:pos:R:3 pbc="T T T"
Mo 0.000 0.000 2.220
Mo 2.220 0.000 0.000
Mn 0.000 0.000 0.000
Ba 0.000 2.960 0.000
B 2.220 2.960 2.220
```